Ca5Ga3Pd12 | Alexandria | PBE | optimized geometry; calculated formation energy = -0.16 eV per atom; DOS(E_F) = 0.4450 states/eV per atom; uncorrected energy = -84.7 eV/f.u.; crystal system = cubic
1.0
-7.755 7.755 7.755
7.755 -7.755 7.755
7.755 7.755 -7.755
Ca Ga Pd
20 12 48
Direct
0.000 0.000 0.000
0.000 0.000 0.500
0.000 0.500 0.000
0.000 0.500 0.500
0.125 0.750 0.875
0.125 0.875 0.250
0.250 0.125 0.875
0.250 0.625 0.375
0.375 0.250 0.625
0.375 0.625 0.750
0.500 0.000 0.000
0.500 0.000 0.500
0.500 0.500 0.000
0.500 0.500 0.500
0.625 0.375 0.250
0.625 0.750 0.375
0.750 0.375 0.625
0.750 0.875 0.125
0.875 0.125 0.750
0.875 0.250 0.125
0.125 0.250 0.375
0.125 0.375 0.750
0.250 0.375 0.125
0.250 0.875 0.625
0.375 0.125 0.250
0.375 0.750 0.125
0.625 0.250 0.875
0.625 0.875 0.750
0.750 0.125 0.375
0.750 0.625 0.875
0.875 0.625 0.250
0.875 0.750 0.625
0.050 0.637 0.396
0.050 0.913 0.654
0.087 0.241 0.137
0.087 0.346 0.950
0.104 0.741 0.654
0.104 0.863 0.450
0.137 0.087 0.241
0.137 0.550 0.896
0.154 0.241 0.604
0.154 0.413 0.550
0.241 0.137 0.087
0.241 0.604 0.154
0.259 0.346 0.896
0.259 0.413 0.363
0.346 0.896 0.259
0.346 0.950 0.087
0.363 0.259 0.413
0.363 0.604 0.950
0.396 0.050 0.637
0.396 0.846 0.759
0.413 0.363 0.259
0.413 0.550 0.154
0.450 0.104 0.863
0.450 0.846 0.587
0.550 0.154 0.413
0.550 0.896 0.137
0.587 0.450 0.846
0.587 0.637 0.741
0.604 0.154 0.241
0.604 0.950 0.363
0.637 0.396 0.050
0.637 0.741 0.587
0.654 0.050 0.913
0.654 0.104 0.741
0.741 0.587 0.637
0.741 0.654 0.104
0.759 0.396 0.846
0.759 0.863 0.913
0.846 0.587 0.450
0.846 0.759 0.396
0.863 0.450 0.104
0.863 0.913 0.759
0.896 0.137 0.550
0.896 0.259 0.346
0.913 0.654 0.050
0.913 0.759 0.863
0.950 0.087 0.346
0.950 0.363 0.604